CaDy2In9 after structural relaxation, computed with GGA-PBE.

As for the spin magnetization: 0.0 μB per cell. The formation energy from the elements comes out at -385 meV/atom. The value obtained for the energy is -40.47 eV for the cell shown. For the theoretical density, the calculation gives 7.627 g cm⁻³.

It has space group P4/mmm (No. 123), with a = 4.665 Å, b = 4.665 Å, c = 13.989 Å, α = 90.00°, β = 90.00° and γ = 90.00°. The distinct sites, in fractional coordinates, are Ca at (0.000, 0.000, 0.000), Dy at (0.000, 0.000, 0.337), In at (0.000, 0.500, 0.169), In at (0.000, 0.500, 0.500), In at (0.500, 0.500, 0.000) and In at (0.500, 0.500, 0.334).